(1)
# AlCoCu3 | the Alexandria database | PBE-GGA | optimized geometry
# **Energy**: -18.585 eV per cell
# **Formation energy**: 0.91 eV/atom
# **DOS(E_F)**: 6.51 states/eV per cell
# **ΔE to the lowest computed polymorph**: 0 meV per atom
data_AlCoCu3
_cell_length_a 4.3793
_cell_length_b 4.3793
_cell_length_c 4.3793
_cell_angle_alpha 90.00
_cell_angle_beta 90.00
_cell_angle_gamma 90.00
_symmetry_space_group_name_H-M 'P 1'
_symmetry_Int_Tables_number 1
_symmetry_space_group_name_Hall 'P 1'
loop_
_atom_site_label
_atom_site_fract_x
_atom_site_fract_y
_atom_site_fract_z
_atom_site_occupancy
Co1 0.0000 0.0000 0.0000 1
Al1 0.5000 0.5000 0.5000 1
Cu1 0.0000 0.5000 0.0000 1
Cu2 0.0000 0.0000 0.5000 1
Cu3 0.5000 0.0000 0.0000 1

***

(2)
# Rb2CaCoTe | the Alexandria database | PBE-GGA | optimized geometry
# **Energy**: -13.227 eV per cell
# **DOS(E_F)**: 2.71 states/eV per cell
# **E_form (uncorrected)**: 191 meV/atom
data_Rb2CaCoTe
_cell_length_a 5.9133
_cell_length_b 5.4898
_cell_length_c 5.9133
_cell_angle_alpha 90.00
_cell_angle_beta 90.00
_cell_angle_gamma 90.00
_symmetry_space_group_name_H-M 'P 1'
_symmetry_Int_Tables_number 1
_symmetry_space_group_name_Hall 'P 1'
loop_
_atom_site_label
_atom_site_fract_x
_atom_site_fract_y
_atom_site_fract_z
_atom_site_occupancy
Ca1 0.0000 0.5000 0.0000 1
Te1 0.5000 0.5000 0.5000 1
Co1 0.0000 0.0000 0.0000 1
Rb1 0.0000 0.0000 0.5000 1
Rb2 0.5000 0.0000 0.0000 1

***

(3)
# Y3Cl | the Alexandria database | PBE-GGA | optimized geometry
# **Energy**: -21.407 eV per cell
# **DOS(E_F)**: 6.58 states/eV per cell
# **ΔE to the lowest computed polymorph**: 617 meV per atom
# **E_form (uncorrected)**: -42 meV/atom
data_Y3Cl
_cell_length_a 6.4062
_cell_length_b 6.4062
_cell_length_c 6.4062
_cell_angle_alpha 137.25
_cell_angle_beta 137.25
_cell_angle_gamma 62.05
_symmetry_space_group_name_H-M 'P 1'
_symmetry_Int_Tables_number 1
_symmetry_space_group_name_Hall 'P 1'
loop_
_atom_site_label
_atom_site_fract_x
_atom_site_fract_y
_atom_site_fract_z
_atom_site_occupancy
Cl1 0.0000 0.0000 0.0000 1
Y1 0.2500 0.7500 0.5000 1
Y2 0.5000 0.5000 0.0000 1
Y3 0.7500 0.2500 0.5000 1

***

(4)
# BaYAl2 | the Alexandria database | PBE-GGA | optimized geometry
# **Energy**: -16.093 eV per cell
# **Formation energy**: -0.06 eV/atom
# **DOS(E_F)**: 1.92 states/eV per cell
# **ΔE to the lowest computed polymorph**: 175 meV per atom
data_BaYAl2
_cell_length_a 5.7968
_cell_length_b 5.7968
_cell_length_c 3.4336
_cell_angle_alpha 89.99
_cell_angle_beta 89.99
_cell_angle_gamma 103.32
_symmetry_space_group_name_H-M 'P 1'
_symmetry_Int_Tables_number 1
_symmetry_space_group_name_Hall 'P 1'
loop_
_atom_site_label
_atom_site_fract_x
_atom_site_fract_y
_atom_site_fract_z
_atom_site_occupancy
Y1 0.0000 0.5000 0.5000 1
Ba1 0.5000 0.0000 0.5000 1
Al1 0.0000 0.0000 0.0000 1
Al2 0.5000 0.5000 0.0000 1

***

(5)
# TaMnSBr2 | the Alexandria database | PBE-GGA | optimized geometry
# **Energy**: -27.646 eV per cell
# **DOS(E_F)**: 4.70 states/eV per cell
# **E_form (uncorrected)**: 170 meV/atom
data_TaMnSBr2
_cell_length_a 5.2814
_cell_length_b 4.7179
_cell_length_c 5.2814
_cell_angle_alpha 90.00
_cell_angle_beta 90.00
_cell_angle_gamma 90.00
_symmetry_space_group_name_H-M 'P 1'
_symmetry_Int_Tables_number 1
_symmetry_space_group_name_Hall 'P 1'
loop_
_atom_site_label
_atom_site_fract_x
_atom_site_fract_y
_atom_site_fract_z
_atom_site_occupancy
S1 0.0000 0.5000 0.0000 1
Mn1 0.5000 0.5000 0.5000 1
Br1 0.0000 0.0000 0.5000 1
Br2 0.5000 0.0000 0.0000 1
Ta1 0.0000 0.0000 0.0000 1

***

(6)
# Cs2NaAg2 | the Alexandria database | PBE-GGA | optimized geometry
# **Energy**: -15.693 eV per cell
# **Formation energy**: 0.18 eV/atom
# **DOS(E_F)**: 2.31 states/eV per cell
# **ΔE to the lowest computed polymorph**: 99 meV per atom
data_Cs2NaAg2
_cell_length_a 10.6482
_cell_length_b 10.6482
_cell_length_c 4.0900
_cell_angle_alpha 90.00
_cell_angle_beta 90.00
_cell_angle_gamma 90.00
_symmetry_space_group_name_H-M 'P 1'
_symmetry_Int_Tables_number 1
_symmetry_space_group_name_Hall 'P 1'
loop_
_atom_site_label
_atom_site_fract_x
_atom_site_fract_y
_atom_site_fract_z
_atom_site_occupancy
Cs1 0.3617 0.8617 0.0000 1
Cs2 0.8617 0.6383 0.0000 1
Cs3 0.6383 0.1383 0.0000 1
Cs4 0.1383 0.3617 0.0000 1
Na1 0.0000 0.0000 0.0000 1
Na2 0.5000 0.5000 0.0000 1
Ag1 0.1612 0.6612 0.5000 1
Ag2 0.6612 0.8388 0.5000 1
Ag3 0.8388 0.3388 0.5000 1
Ag4 0.3388 0.1612 0.5000 1

***

(7)
# Ac2DyY2 | the Alexandria database | PBE-GGA | optimized geometry
# **Energy**: -50.885 eV per cell
# **Formation energy**: 0.06 eV/atom
# **DOS(E_F)**: 17.97 states/eV per cell
# **ΔE to the lowest computed polymorph**: 0 meV per atom
data_Ac2DyY2
_cell_length_a 12.8650
_cell_length_b 6.5876
_cell_length_c 10.0442
_cell_angle_alpha 109.22
_cell_angle_beta 146.79
_cell_angle_gamma 89.96
_symmetry_space_group_name_H-M 'P 1'
_symmetry_Int_Tables_number 1
_symmetry_space_group_name_Hall 'P 1'
loop_
_atom_site_label
_atom_site_fract_x
_atom_site_fract_y
_atom_site_fract_z
_atom_site_occupancy
Ac1 0.2412 0.8819 0.0916 1
Ac2 0.2606 0.2901 0.9125 1
Ac3 0.7394 0.7099 0.0875 1
Ac4 0.7588 0.1181 0.9084 1
Dy1 0.2426 0.4835 0.2932 1
Dy2 0.7574 0.5165 0.7068 1
Y1 0.2552 0.6876 0.7026 1
Y2 0.2497 0.0742 0.4997 1
Y3 0.7448 0.3124 0.2974 1
Y4 0.7503 0.9258 0.5003 1

***

(8)
# Sb2Te | the Alexandria database | PBE-GGA | optimized geometry
# **Energy**: -42.780 eV per cell
# **DOS(E_F)**: 9.17 states/eV per cell
# **ΔE to the lowest computed polymorph**: 296 meV per atom
# **E_form (uncorrected)**: 230 meV/atom
data_Sb2Te
_cell_length_a 7.4689
_cell_length_b 7.4689
_cell_length_c 7.4689
_cell_angle_alpha 90.00
_cell_angle_beta 90.00
_cell_angle_gamma 90.00
_symmetry_space_group_name_H-M 'P 1'
_symmetry_Int_Tables_number 1
_symmetry_space_group_name_Hall 'P 1'
loop_
_atom_site_label
_atom_site_fract_x
_atom_site_fract_y
_atom_site_fract_z
_atom_site_occupancy
Sb1 0.6102 0.6102 0.3898 1
Sb2 0.3898 0.3898 0.6102 1
Sb3 0.1102 0.8898 0.6102 1
Sb4 0.8898 0.1102 0.3898 1
Sb5 0.3898 0.1102 0.1102 1
Sb6 0.6102 0.8898 0.8898 1
Sb7 0.8898 0.3898 0.8898 1
Sb8 0.1102 0.6102 0.1102 1
Te1 0.0000 0.0000 0.0000 1
Te2 0.5000 0.5000 0.0000 1
Te3 0.5000 0.0000 0.5000 1
Te4 0.0000 0.5000 0.5000 1